# CrSn2Rh2

A relaxed CrSn2Rh2 crystal (PBE, the Alexandria database).

a b c (Å): 7.5987 7.5987 2.9872
angles (deg): 90.00 90.00 90.00
Closest atoms and distances in Å follow each position.
Fractional coordinates of all 10 atoms:
Rh: 0.8552 0.3552 0.5000  6 Sn 2.62-2.73
Rh: 0.1448 0.6448 0.5000  6 Sn 2.62-2.73
Rh: 0.6448 0.8552 0.5000  6 Sn 2.62-2.73
Rh: 0.3552 0.1448 0.5000  6 Sn 2.62-2.73
Sn: 0.1550 0.3450 0.0000  6 Rh 2.62-2.73, 2 Cr 2.87
Sn: 0.3450 0.8450 0.0000  6 Rh 2.62-2.73, 2 Cr 2.87
Sn: 0.8450 0.6550 0.0000  6 Rh 2.62-2.73, 2 Cr 2.87
Sn: 0.6550 0.1550 0.0000  6 Rh 2.62-2.73, 2 Cr 2.87
Cr: 0.0000 0.0000 0.0000  4 Sn 2.87, 2 Cr 2.99
Cr: 0.5000 0.5000 0.0000  4 Sn 2.87, 2 Cr 2.99

Results
Excess energy over the best structure of this formula in the dataset: 0.0 meV per atom
DFT formation energy: 13 kJ/mol of atoms
Final energy: -6.335 eV/atom